Pr3ZnAu4 | GGA-PBE | relaxed

- total magnetization (μB per formula unit) = 0.0
- VASP energy (eV/f.u.) = -33.6

a = 8.271 Å, b = 8.271 Å, c = 8.271 Å
α = 150.57°, β = 129.35°, γ = 59.67°
Fractional positions:
Pr 0.000 0.000 0.000
Pr 0.310 0.810 0.500
Pr 0.690 0.190 0.500
Zn 0.500 0.500 0.000
Au 0.087 0.378 0.709
Au 0.330 0.622 0.709
Au 0.670 0.378 0.291
Au 0.913 0.622 0.291